Entry from Alexandria via LeMat-Bulk: a geometry-optimized SrOs5 structure (PBE).

ΔH_f (0 K) in kJ/mol of formula units: 502

```
data_SrOs5
_cell_length_a 7.4365
_cell_length_b 7.4365
_cell_length_c 7.4365
_cell_angle_alpha 90.00
_cell_angle_beta 90.00
_cell_angle_gamma 90.00
_space_group_name_H-M_alt 'F -4 3 m'
_space_group_IT_number 216
_space_group_name_Hall 'F -4 2 3'
loop_
_atom_site_label
_atom_site_type_symbol
_atom_site_fract_x
_atom_site_fract_y
_atom_site_fract_z
Sr1 Sr 0.0000 0.0000 0.0000
Os1 Os 0.1245 0.1245 0.3755
Os2 Os 0.2500 0.2500 0.7500
```